Ac4YIn5 after structural relaxation, computed with PBE. Values from VASP.

Quantum ESPRESSO input file:
```
&SYSTEM
  ibrav = 0, nat = 10, ntyp = 3
/
ATOMIC_SPECIES
Ac 227.00 Ac.upf
Y 88.91 Y.upf
In 114.82 In.upf
CELL_PARAMETERS angstrom
3.979 0.000 0.000
0.000 3.979 0.000
0.000 0.000 20.822
ATOMIC_POSITIONS angstrom
Ac 0.000 0.000 2.180
Ac 0.000 0.000 6.501
Ac 0.000 0.000 14.321
Ac 0.000 0.000 18.641
Y 0.000 0.000 10.411
In 1.989 1.989 0.000
In 1.989 1.989 4.356
In 1.989 1.989 8.712
In 1.989 1.989 12.109
In 1.989 1.989 16.466
```

Calculated values
The space group is No. 123. Its crystal system is tetragonal. Its formation energy is -0.434 eV per atom.